! CoNiPCl2 | Alexandria | PBE-GGA | optimized geometry; values from VASP
&SYSTEM
  ibrav = 0, nat = 5, ntyp = 4
/
ATOMIC_SPECIES
Ni 58.69 Ni.upf
Cl 35.45 Cl.upf
Co 58.93 Co.upf
P 30.97 P.upf
CELL_PARAMETERS angstrom
-2.883 0.813 -3.600
-3.527 -1.954 2.383
-0.984 3.776 1.641
ATOMIC_POSITIONS angstrom
Ni -3.697 1.318 0.212
Cl -1.442 0.407 -1.800
Co 0.000 0.000 0.000
Cl -1.763 -0.977 1.191
P -0.492 1.888 0.820
! **DOS at the Fermi energy**: 9.62 states/eV/f.u.
! **Uncorrected energy**: -19.108 eV/cell
! **Excess energy over the best structure of this formula in the dataset**: 0 meV per atom

! Ac4IrAuSe2 | Alexandria | PBE-GGA | optimized geometry; values from VASP
&SYSTEM
  ibrav = 0, nat = 8, ntyp = 4
/
ATOMIC_SPECIES
Ac 227.00 Ac.upf
Se 78.96 Se.upf
Ir 192.22 Ir.upf
Au 196.97 Au.upf
CELL_PARAMETERS angstrom
-1.212 3.686 -2.023
3.341 -2.413 -6.399
-7.746 -2.607 -0.109
ATOMIC_POSITIONS angstrom
Ac -4.086 -1.952 -5.841
Se -2.202 -2.510 -3.254
Ir 1.065 0.636 -4.211
Au 0.000 0.000 0.000
Ac 0.687 -2.355 -4.703
Ac -5.092 -2.665 -1.805
Se -4.479 0.540 -1.066
Ac -1.530 0.618 -2.690
! **DOS at the Fermi energy**: 3.88 states/eV/f.u.
! **Uncorrected energy**: -45.895 eV/cell

DOS at the Fermi energy of number 1 (CoNiPCl2)?
9.62 states/eV/f.u.

Copy entry 1 word for word.
! CoNiPCl2 | Alexandria | PBE-GGA | optimized geometry; values from VASP
&SYSTEM
  ibrav = 0, nat = 5, ntyp = 4
/
ATOMIC_SPECIES
Ni 58.69 Ni.upf
Cl 35.45 Cl.upf
Co 58.93 Co.upf
P 30.97 P.upf
CELL_PARAMETERS angstrom
-2.883 0.813 -3.600
-3.527 -1.954 2.383
-0.984 3.776 1.641
ATOMIC_POSITIONS angstrom
Ni -3.697 1.318 0.212
Cl -1.442 0.407 -1.800
Co 0.000 0.000 0.000
Cl -1.763 -0.977 1.191
P -0.492 1.888 0.820
! **DOS at the Fermi energy**: 9.62 states/eV/f.u.
! **Uncorrected energy**: -19.108 eV/cell
! **Excess energy over the best structure of this formula in the dataset**: 0 meV per atom

Which of these has the highest DOS at the Fermi energy?
CoNiPCl2